1.
Density functional theory data (PBE-GGA) for a geometry-optimized La6NiAu2 structure.

abc: 6.9654 7.6101 10.7132
angles: 90.00 85.93 90.00
Sites, in units of the cell vectors:
La: 0.1854 0.3059 0.9397
Au: 0.5584 0.8948 0.2695
La: 0.8146 0.6941 0.0603
La: 0.6399 0.4695 0.7435
La: 0.6719 0.1783 0.0613
Au: 0.4416 0.1052 0.7305
Au: 0.9416 0.3948 0.2305
La: 0.3146 0.8059 0.5603
La: 0.3281 0.8217 0.9387
La: 0.8601 0.9695 0.7565
La: 0.3601 0.5305 0.2565
La: 0.1399 0.0305 0.2435
Ni: 0.0000 0.0000 0.5000
Au: 0.0584 0.6052 0.7695
La: 0.8281 0.6783 0.4387
Ni: 0.5000 0.5000 0.0000
La: 0.1719 0.3217 0.5613
La: 0.6854 0.1941 0.4397

Properties
- SG = P2_1/c, No. 14
- magnetic moment (μB/f.u.) = 0.0
- D(E_F) (states/eV per cell) = 21.06
- energy of formation from the pure elements (eV/atom) = -0.4209



2.
Density functional theory data (PBE-GGA) for a geometry-optimized LaNiAu2 structure.

abc: 4.3507 4.1055 5.1793
angles: 69.35 90.00 90.00
Sites, in units of the cell vectors:
Ni: 0.5000 0.7500 0.7500
Au: 0.0000 0.5982 0.5413
La: 0.5000 0.2500 0.2500
Au: 0.0000 0.9018 0.9587

Properties
- SG = P2/m, No. 10
- magnetic moment (μB/f.u.) = 0.0
- D(E_F) (states/eV per cell) = 1.96
- energy of formation from the pure elements (eV/atom) = -0.4190



3.
Density functional theory data (PBE-GGA) for a geometry-optimized LaNi2Au structure.

abc: 4.6534 4.6534 4.6534
angles: 60.00 60.00 60.00
Sites, in units of the cell vectors:
Ni: 0.2500 0.2500 0.2500
La: 0.0000 0.0000 0.0000
Au: 0.5000 0.5000 0.5000
Ni: 0.7500 0.7500 0.7500

Properties
- SG = Fm-3m, No. 225
- magnetic moment (μB/f.u.) = 0.0
- D(E_F) (states/eV per cell) = 3.00
- energy of formation from the pure elements (eV/atom) = -0.2189



4.
Density functional theory data (PBE-GGA) for a geometry-optimized LaNiAu2 structure.

abc: 4.6458 4.6458 9.4874
angles: 75.83 75.83 90.00
Sites, in units of the cell vectors:
Au: 0.3750 0.4804 0.7500
Ni: 0.5000 0.5000 0.0000
Au: 0.8750 0.7696 0.7500
La: 0.7500 0.2500 0.5000
Au: 0.2304 0.6250 0.2500
La: 0.0000 0.0000 0.0000
Au: 0.5196 0.1250 0.2500
Ni: 0.2500 0.7500 0.5000

Properties
- SG = I-42d, No. 122
- magnetic moment (μB/f.u.) = 0.0
- D(E_F) (states/eV per cell) = 4.00
- energy of formation from the pure elements (eV/atom) = -0.2344